(1)
HgIrSe2 (PBE-GGA, relaxed); uncorrected formation energy = -0.753 eV per formula unit
1.0
7.989 -1.908 0.000
7.989 1.908 0.000
-0.761 0.000 6.492
Hg Ir Se
2 2 4
direct
0.000 0.000 0.000 Hg
0.000 0.000 0.500 Hg
0.251 0.251 0.745 Ir
0.749 0.749 0.255 Ir
0.175 0.175 0.061 Se
0.330 0.330 0.438 Se
0.670 0.670 0.562 Se
0.825 0.825 0.939 Se

(2)
Cs2Cd5Ag (PBE-GGA, relaxed); E_form = -12 meV/atom
1.0
2.786 -9.326 0.000
2.786 9.326 0.000
0.000 0.000 10.584
Cs Cd Ag
4 10 2
direct
0.000 0.000 0.000 Cs
0.000 0.000 0.500 Cs
0.197 0.803 0.750 Cs
0.803 0.197 0.250 Cs
0.190 0.810 0.110 Cd
0.190 0.810 0.390 Cd
0.346 0.654 0.014 Cd
0.346 0.654 0.486 Cd
0.409 0.591 0.750 Cd
0.591 0.409 0.250 Cd
0.654 0.346 0.514 Cd
0.654 0.346 0.986 Cd
0.810 0.190 0.610 Cd
0.810 0.190 0.890 Cd
0.434 0.566 0.250 Ag
0.566 0.434 0.750 Ag

(3)
LaCdTc2 (PBE-GGA, relaxed); E_form = 528 meV/atom
1.0
3.023 0.000 0.000
0.000 4.726 0.000
-0.183 0.000 5.629
La Cd Tc
1 1 2
direct
0.000 0.000 0.000 La
0.500 0.000 0.500 Cd
0.268 0.500 0.797 Tc
0.732 0.500 0.203 Tc